# 1
Here is a relaxed RbBa2Zn2 crystal from Alexandria via LeMat-Bulk. Energies are from PBE-GGA.

Values from the calculation:
E above lowest polymorph: 0.0 meV per atom
Fermi-level density of states: 0.9318 states/eV per atom
Formation energy from the elements: -1.04 kJ per mole of atoms

abc: 9.677 9.677 4.495
angles: 90.00 90.00 90.00
Atoms (fractional coordinates):
Rb  0.000  0.000  0.000
Rb  0.500  0.500  0.000
Ba  0.149  0.351  0.500
Ba  0.351  0.851  0.500
Ba  0.649  0.149  0.500
Ba  0.851  0.649  0.500
Zn  0.131  0.631  0.000
Zn  0.369  0.131  0.000
Zn  0.631  0.869  0.000
Zn  0.869  0.369  0.000



# 2
Here is a relaxed RbBaZn2 crystal from Alexandria via LeMat-Bulk. Energies are from PBE-GGA.

Values from the calculation:
E above lowest polymorph: 0.0 meV per atom
Fermi-level density of states: 1.3577 states/eV per atom
Formation energy from the elements: 9.23 kJ per mole of atoms

abc: 8.361 8.361 8.361
angles: 90.00 90.00 90.00
Atoms (fractional coordinates):
Rb  0.000  0.000  0.000
Rb  0.000  0.500  0.500
Rb  0.500  0.000  0.500
Rb  0.500  0.500  0.000
Ba  0.000  0.000  0.500
Ba  0.000  0.500  0.000
Ba  0.500  0.000  0.000
Ba  0.500  0.500  0.500
Zn  0.250  0.250  0.250
Zn  0.250  0.250  0.750
Zn  0.250  0.750  0.250
Zn  0.250  0.750  0.750
Zn  0.750  0.250  0.250
Zn  0.750  0.250  0.750
Zn  0.750  0.750  0.250
Zn  0.750  0.750  0.750



# 3
Here is a relaxed RbBa2Zn2 crystal from Alexandria via LeMat-Bulk. Energies are from PBE-GGA.

Values from the calculation:
E above lowest polymorph: 49.7 meV per atom
Fermi-level density of states: 1.4436 states/eV per atom
Formation energy from the elements: 3.76 kJ per mole of atoms

abc: 6.247 6.247 10.913
angles: 90.00 90.00 90.00
Atoms (fractional coordinates):
Rb  0.000  0.000  0.000
Rb  0.500  0.500  0.500
Ba  0.000  0.500  0.250
Ba  0.000  0.500  0.750
Ba  0.500  0.000  0.250
Ba  0.500  0.000  0.750
Zn  0.000  0.000  0.387
Zn  0.000  0.000  0.613
Zn  0.500  0.500  0.113
Zn  0.500  0.500  0.887